[1]
Here is an optimized crystal structure of Al2ZnCd from Alexandria. Energies are from PBE.

Cell lengths 2.938, 5.185, 4.879 Å; angles 90.00, 92.99, 90.00 degrees
Element x y z (fractional)
Al  0.246  0.000  0.244
Al  0.754  0.000  0.756
Zn  0.000  0.500  0.000
Cd  0.500  0.500  0.500

Computed properties:
The value obtained for the total magnetization is 0.000 μB/f.u. Its formation energy is 0.1403 eV/atom. As for the crystal system: monoclinic. Its calculated volume is 18.56 Å³ per atom. The calculation puts the uncorrected energy at -2.28 eV/atom.

***

[2]
Here is an optimized crystal structure of LaNd5Sm3 from Alexandria. Energies are from PBE.

Cell lengths 10.004, 10.004, 11.474 Å; angles 111.73, 111.73, 38.25 degrees
Element x y z (fractional)
La  0.136  0.864  0.750
La  0.864  0.136  0.250
Nd  0.011  0.650  0.133
Nd  0.131  0.531  0.790
Nd  0.350  0.989  0.367
Nd  0.402  0.598  0.250
Nd  0.469  0.869  0.710
Nd  0.531  0.131  0.290
Nd  0.598  0.402  0.750
Nd  0.650  0.011  0.633
Nd  0.869  0.469  0.210
Nd  0.989  0.350  0.867
Sm  0.000  0.000  0.000
Sm  0.000  0.000  0.500
Sm  0.141  0.536  0.485
Sm  0.464  0.859  0.015
Sm  0.536  0.141  0.985
Sm  0.859  0.464  0.515

Computed properties:
The value obtained for the total magnetization is 0.000 μB/f.u. Its formation energy is 0.2605 eV/atom. As for the crystal system: monoclinic. Its calculated volume is 36.34 Å³ per atom. The calculation puts the uncorrected energy at -4.51 eV/atom.

***

[3]
Here is an optimized crystal structure of Pr3Ge4Ir2 from Alexandria. Energies are from PBE.

Cell lengths 6.093, 6.093, 8.551 Å; angles 101.33, 101.33, 41.01 degrees
Element x y z (fractional)
Pr  0.000  0.000  0.000
Pr  0.333  0.333  0.347
Pr  0.667  0.667  0.653
Ge  0.051  0.051  0.380
Ge  0.266  0.266  0.920
Ge  0.734  0.734  0.080
Ge  0.949  0.949  0.620
Ir  0.396  0.396  0.727
Ir  0.604  0.604  0.273

Computed properties:
The value obtained for the total magnetization is 0.000 μB/f.u. Its formation energy is -0.7767 eV/atom. As for the crystal system: monoclinic. Its calculated volume is 22.63 Å³ per atom. The calculation puts the uncorrected energy at -6.39 eV/atom.

***

[4]
Here is an optimized crystal structure of LaHgBrCl2 from Alexandria. Energies are from PBE.

Cell lengths 5.603, 5.603, 5.917 Å; angles 90.00, 90.00, 90.00 degrees
Element x y z (fractional)
La  0.000  0.000  0.000
Hg  0.500  0.500  0.500
Br  0.000  0.000  0.500
Cl  0.000  0.500  0.000
Cl  0.500  0.000  0.000

Computed properties:
The value obtained for the total magnetization is 0.000 μB/f.u. Its uncorrected formation energy is -1.714 eV/atom. As for the crystal system: tetragonal. Its calculated volume is 37.15 Å³ per atom. The calculation puts the uncorrected energy at -3.83 eV/atom.

***

[5]
Here is an optimized crystal structure of Sr2TlHg from Alexandria. Energies are from PBE.

Cell lengths 4.041, 5.749, 5.749 Å; angles 90.00, 90.00, 90.00 degrees
Element x y z (fractional)
Sr  0.000  0.000  0.000
Sr  0.000  0.500  0.499
Tl  0.500  0.000  0.500
Hg  0.500  0.500  0.999

Computed properties:
The value obtained for the total magnetization is 0.000 μB/f.u. Its formation energy is -0.4854 eV/atom. As for the crystal system: orthorhombic. Its calculated volume is 33.38 Å³ per atom. The calculation puts the uncorrected energy at -1.99 eV/atom.

***

[6]
Here is an optimized crystal structure of CdHgPt3 from Alexandria. Energies are from PBE.

Cell lengths 5.024, 5.024, 5.024 Å; angles 90.00, 90.00, 90.00 degrees
Element x y z (fractional)
Cd  0.000  0.000  0.000
Hg  0.500  0.500  0.500
Pt  0.000  0.500  0.500
Pt  0.500  0.000  0.500
Pt  0.500  0.500  0.000

Computed properties:
The value obtained for the total magnetization is 0.000 μB/f.u. Its formation energy is 1.1593 eV/atom. As for the crystal system: cubic. Its calculated volume is 25.37 Å³ per atom. The calculation puts the uncorrected energy at -2.71 eV/atom.

***

[7]
Here is an optimized crystal structure of Ba2LaPW from Alexandria. Energies are from PBE.

Cell lengths 6.196, 6.196, 4.646 Å; angles 90.00, 90.00, 90.00 degrees
Element x y z (fractional)
Ba  0.000  0.500  0.000
Ba  0.500  0.000  0.000
La  0.000  0.000  0.500
P  0.500  0.500  0.000
W  0.500  0.500  0.500

Computed properties:
The value obtained for the total magnetization is 1.162 μB/f.u. Its formation energy is 0.3643 eV/atom. As for the crystal system: tetragonal. Its calculated volume is 35.67 Å³ per atom. The calculation puts the uncorrected energy at -5.06 eV/atom.

***

[8]
Here is an optimized crystal structure of SmGa4Ni2Au from Alexandria. Energies are from PBE.

Cell lengths 9.471, 9.471, 9.471 Å; angles 25.36, 25.36, 25.36 degrees
Element x y z (fractional)
Sm  0.000  0.000  0.000
Ga  0.119  0.119  0.119
Ga  0.399  0.399  0.399
Ga  0.601  0.601  0.601
Ga  0.881  0.881  0.881
Ni  0.244  0.244  0.244
Ni  0.756  0.756  0.756
Au  0.500  0.500  0.500

Computed properties:
The value obtained for the total magnetization is 0.000 μB/f.u. Its formation energy is -0.3808 eV/atom. As for the crystal system: trigonal. Its calculated volume is 17.14 Å³ per atom. The calculation puts the uncorrected energy at -4.34 eV/atom.